Entry 1:
# TlZn2Cu

Crystalline TlZn2Cu at its relaxed geometry (PBE-GGA, Alexandria via LeMat-Bulk).

Cell and atoms, written as CIF:
```
data_TlZn2Cu
_chemical_formula_sum 'Tl2 Zn4 Cu2'
_space_group_name_H-M_alt 'C 1 2/m 1'
_space_group_IT_number 12
_cell_length_a 5.3482
_cell_length_b 9.9341
_cell_length_c 3.1921
_cell_angle_alpha 90.00
_cell_angle_beta 119.29
_cell_angle_gamma 90.00
loop_
_space_group_symop_operation_xyz
'x,y,z'
'-x,-y,-z'
'-x,y,-z'
'x,-y,z'
'x+1/2,y+1/2,z'
'-x+1/2,-y+1/2,-z'
'-x+1/2,y+1/2,-z'
'x+1/2,-y+1/2,z'
loop_
_atom_site_label
_atom_site_type_symbol
_atom_site_fract_x
_atom_site_fract_y
_atom_site_fract_z
Tl1 Tl 0.0000 0.0000 0.0000
Zn1 Zn 0.2500 0.2500 0.0000
Cu1 Cu 0.0000 0.5000 0.0000
```

Summary:
Crystal system ... monoclinic
E_form ... 0.2426 eV per atom
Distance to the lowest polymorph of the same formula ... 0.46 eV/f.u.
M_tot ... 0.00 μB/cell
Total DFT energy (no corrections) ... -2.01 eV per atom

=====

Entry 2:
# Pu3SiPt2Rh3

Crystalline Pu3SiPt2Rh3 at its relaxed geometry (PBE-GGA, Alexandria via LeMat-Bulk).

Cell and atoms, written as CIF:
```
data_Pu3SiPt2Rh3
_chemical_formula_sum 'Pu3 Si1 Pt2 Rh3'
_space_group_name_H-M_alt 'P -6 2 m'
_space_group_IT_number 189
_space_group_name_Hall 'P -6 -2'
_cell_length_a 7.3224
_cell_length_b 7.3224
_cell_length_c 3.6609
_cell_angle_alpha 90.00
_cell_angle_beta 90.00
_cell_angle_gamma 120.00
loop_
_atom_site_label
_atom_site_type_symbol
_atom_site_fract_x
_atom_site_fract_y
_atom_site_fract_z
Pu1 Pu 0.0000 0.5949 0.0000
Si1 Si 0.0000 0.0000 0.0000
Pt1 Pt 0.3333 0.6667 0.5000
Rh1 Rh 0.0000 0.2251 0.5000
```

Summary:
Crystal system ... hexagonal
M_tot ... 15.27 μB/cell
Total DFT energy (no corrections) ... -9.88 eV per atom

=====

Entry 3:
# GdLuSn2

Crystalline GdLuSn2 at its relaxed geometry (PBE-GGA, Alexandria via LeMat-Bulk).

Cell and atoms, written as CIF:
```
data_GdLuSn2
_chemical_formula_sum 'Gd4 Lu4 Sn8'
_space_group_name_H-M_alt 'F m -3 m'
_space_group_IT_number 225
_space_group_name_Hall '-F 4 2 3'
_cell_length_a 7.5462
_cell_length_b 7.5462
_cell_length_c 7.5462
_cell_angle_alpha 90.00
_cell_angle_beta 90.00
_cell_angle_gamma 90.00
loop_
_atom_site_label
_atom_site_type_symbol
_atom_site_fract_x
_atom_site_fract_y
_atom_site_fract_z
Gd1 Gd 0.0000 0.0000 0.0000
Lu1 Lu 0.0000 0.0000 0.5000
Sn1 Sn 0.2500 0.2500 0.2500
```

Summary:
Crystal system ... cubic
E_form ... -0.5355 eV per atom
Distance to the lowest polymorph of the same formula ... 0.27 eV/f.u.
M_tot ... 28.59 μB/cell
Total DFT energy (no corrections) ... -7.19 eV per atom